*a*
DFT (PBE-GGA) results for crystalline ScSOF2 at its relaxed geometry.

The density of states at the Fermi level is 0.17 states/eV/atom.

The space group is P4/mmm (No. 123) and the conventional cell measures 4.140, 4.140 and 4.196 Å, with angles of 90.00, 90.00 and 90.00 degrees. The asymmetric unit holds Sc at (0.000, 0.000, 0.000), S at (0.500, 0.500, 0.500), O at (0.000, 0.000, 0.500) and F at (0.000, 0.500, 0.000).

---

*b*
DFT (PBE-GGA) results for crystalline ScSOF2 at its relaxed geometry.

The density of states at the Fermi level is 1.15 states/eV/atom.

The space group is P4/mmm (No. 123) and the conventional cell measures 4.729, 4.729 and 3.404 Å, with angles of 90.00, 90.00 and 90.00 degrees. The asymmetric unit holds Sc at (0.000, 0.000, 0.000), S at (0.500, 0.500, 0.500), O at (0.500, 0.500, 0.000) and F at (0.000, 0.500, 0.500).

---

It comes down to *a*, which is 1.075 eV/atom more stable than the next structure.